Ac3HgPd2 (PBE, optimized geometry); spin magnetization = 0.0 Bohr magnetons per cell; calculated density = 9.28 g cm⁻³; DOS at the Fermi energy = 0.682 states/eV/atom; relative energy among the computed polymorphs = 0.000 eV per atom
1.0
4.0714 2.3506 6.8192
-4.0714 2.3506 6.8192
0.0000 -4.7013 6.8192
Ac Hg Pd
6 2 4
Direct
0.0415 0.7500 0.4585
0.2500 0.5415 0.9585
0.4585 0.0415 0.7500
0.5415 0.9585 0.2500
0.7500 0.4585 0.0415
0.9585 0.2500 0.5415
0.0000 0.0000 0.0000
0.5000 0.5000 0.5000
0.1476 0.1476 0.1476
0.3524 0.3524 0.3524
0.6476 0.6476 0.6476
0.8524 0.8524 0.8524



AcHg2Pd8 (PBE, optimized geometry); spin magnetization = 0.0 Bohr magnetons per cell; calculated density = 9.66 g cm⁻³; DOS at the Fermi energy = 0.533 states/eV/atom; electronic total energy = -45.9 eV per formula unit
1.0
5.3407 0.0000 0.0000
0.0000 5.3407 0.0000
0.0000 0.0000 8.9132
Ac Hg Pd
1 2 8
Direct
0.0000 0.0000 0.0000
0.0000 0.5000 0.5000
0.5000 0.0000 0.5000
0.2523 0.2523 0.2622
0.2523 0.2523 0.7378
0.2523 0.7477 0.2622
0.2523 0.7477 0.7378
0.7477 0.2523 0.2622
0.7477 0.2523 0.7378
0.7477 0.7477 0.2622
0.7477 0.7477 0.7378



AcHg5Pd (PBE, optimized geometry); spin magnetization = 0.0 Bohr magnetons per cell; calculated density = 11.89 g cm⁻³; DOS at the Fermi energy = 0.516 states/eV/atom; electronic total energy = -13.0 eV per formula unit
1.0
4.9960 0.0000 0.0000
0.0000 4.9960 0.0000
0.0000 0.0000 7.4775
Ac Hg Pd
1 5 1
Direct
0.0000 0.0000 0.0000
0.0000 0.5000 0.3032
0.0000 0.5000 0.6968
0.5000 0.0000 0.3032
0.5000 0.0000 0.6968
0.5000 0.5000 0.0000
0.0000 0.0000 0.5000



Ac4HgPd5 (PBE, optimized geometry); spin magnetization = 0.0 Bohr magnetons per cell; calculated density = 9.71 g cm⁻³; DOS at the Fermi energy = 0.604 states/eV/atom; electronic total energy = -49.8 eV per formula unit
1.0
2.3034 1.3298 15.2648
-2.3034 1.3298 15.2648
0.0000 -2.6597 15.2648
Ac Hg Pd
4 1 5
Direct
0.1115 0.1115 0.1115
0.2963 0.2963 0.2963
0.7037 0.7037 0.7037
0.8885 0.8885 0.8885
0.5000 0.5000 0.5000
0.0000 0.0000 0.0000
0.1826 0.1826 0.1826
0.4071 0.4071 0.4071
0.5929 0.5929 0.5929
0.8174 0.8174 0.8174



AcHgPd2 (PBE, optimized geometry); spin magnetization = 0.0 Bohr magnetons per cell; calculated density = 11.12 g cm⁻³; DOS at the Fermi energy = 0.602 states/eV/atom; electronic total energy = -17.4 eV per formula unit
1.0
2.3721 1.3695 4.9057
-2.3721 1.3695 4.9057
0.0000 -2.7391 4.9057
Ac Hg Pd
1 1 2
Direct
0.0000 0.0000 0.0000
0.5000 0.5000 0.5000
0.2113 0.2113 0.2113
0.7887 0.7887 0.7887



Ac4Hg2Pd (PBE, optimized geometry); spin magnetization = 0.0 Bohr magnetons per cell; calculated density = 8.61 g cm⁻³; DOS at the Fermi energy = 1.050 states/eV/atom; relative energy among the computed polymorphs = 0.078 eV per atom
1.0
-2.9054 2.9054 8.0885
2.9054 -2.9054 8.0885
2.9054 2.9054 -8.0885
Ac Hg Pd
4 2 1
Direct
0.0000 0.5000 0.5000
0.1913 0.1913 0.0000
0.5000 0.0000 0.5000
0.8087 0.8087 0.0000
0.3880 0.3880 0.0000
0.6120 0.6120 0.0000
0.0000 0.0000 0.0000



AcHg2Pd4 (PBE, optimized geometry); spin magnetization = 0.0 Bohr magnetons per cell; calculated density = 9.12 g cm⁻³; DOS at the Fermi energy = 0.544 states/eV/atom; electronic total energy = -25.2 eV per formula unit
1.0
-4.1575 4.1575 2.7756
4.1575 -4.1575 2.7756
4.1575 4.1575 -2.7756
Ac Hg Pd
1 2 4
Direct
0.0000 0.0000 0.0000
0.2500 0.7500 0.5000
0.7500 0.2500 0.5000
0.2809 0.5000 0.7809
0.5000 0.2809 0.7809
0.5000 0.7191 0.2191
0.7191 0.5000 0.2191



AcHg2Pd3 (PBE, optimized geometry); spin magnetization = 0.0 Bohr magnetons per cell; calculated density = 11.60 g cm⁻³; DOS at the Fermi energy = 0.506 states/eV/atom; relative energy among the computed polymorphs = 0.005 eV per atom
1.0
4.9064 -4.8235 0.0000
4.9064 4.8235 0.0000
0.0000 0.0000 5.7331
Ac Hg Pd
2 4 6
Direct
0.2375 0.7625 0.7500
0.7625 0.2375 0.2500
0.2476 0.2476 0.0000
0.2476 0.2476 0.5000
0.7524 0.7524 0.0000
0.7524 0.7524 0.5000
0.0582 0.5775 0.2500
0.4225 0.9418 0.2500
0.4542 0.5458 0.2500
0.5458 0.4542 0.7500
0.5775 0.0582 0.7500
0.9418 0.4225 0.7500



AcHg2Pd2 (PBE, optimized geometry); spin magnetization = 0.0 Bohr magnetons per cell; calculated density = 11.68 g cm⁻³; DOS at the Fermi energy = 0.654 states/eV/atom; relative energy among the computed polymorphs = 0.000 eV per atom
1.0
-2.1717 2.1717 6.3357
2.1717 -2.1717 6.3357
2.1717 2.1717 -6.3357
Ac Hg Pd
1 2 2
Direct
0.0000 0.0000 0.0000
0.2500 0.7500 0.5000
0.7500 0.2500 0.5000
0.3959 0.3959 0.0000
0.6041 0.6041 0.0000



AcHg8Pd4 (PBE, optimized geometry); spin magnetization = 0.0 Bohr magnetons per cell; calculated density = 13.40 g cm⁻³; DOS at the Fermi energy = 0.529 states/eV/atom; electronic total energy = -30.3 eV per formula unit
1.0
-4.9192 4.9192 2.8906
4.9192 -4.9192 2.8906
4.9192 4.9192 -2.8906
Ac Hg Pd
1 8 4
Direct
0.0000 0.0000 0.0000
0.0000 0.3423 0.3423
0.0000 0.6577 0.6577
0.2811 0.5000 0.7811
0.3423 0.0000 0.3423
0.5000 0.2811 0.7811
0.5000 0.7189 0.2189
0.6577 0.0000 0.6577
0.7189 0.5000 0.2189
0.0000 0.0000 0.5000
0.0000 0.5000 0.0000
0.5000 0.0000 0.0000
0.5000 0.5000 0.5000



Ac6Hg5Pd (PBE, optimized geometry); spin magnetization = 0.0 Bohr magnetons per cell; calculated density = 10.66 g cm⁻³; DOS at the Fermi energy = 0.796 states/eV/atom; electronic total energy = -37.5 eV per formula unit
1.0
8.9021 -4.0228 0.0000
8.9021 4.0228 0.0000
-1.7894 0.0000 5.3768
Ac Hg Pd
6 5 1
Direct
0.0807 0.6003 0.3402
0.2357 0.7643 0.0000
0.3997 0.9193 0.6598
0.6003 0.0807 0.3402
0.7643 0.2357 0.0000
0.9193 0.3997 0.6598
0.1783 0.1783 0.1786
0.3329 0.3329 0.8324
0.5000 0.5000 0.5000
0.6671 0.6671 0.1676
0.8217 0.8217 0.8214
0.0000 0.0000 0.5000



AcHgPd2 (PBE, optimized geometry); spin magnetization = 0.0 Bohr magnetons per cell; calculated density = 11.24 g cm⁻³; DOS at the Fermi energy = 0.509 states/eV/atom; electronic total energy = -17.2 eV per formula unit
1.0
7.7062 0.0000 0.0000
0.0000 7.2369 0.0000
0.0000 0.0000 6.7843
Ac Hg Pd
4 4 8
Direct
0.0282 0.2500 0.1695
0.4718 0.7500 0.6695
0.5282 0.2500 0.3305
0.9718 0.7500 0.8305
0.1192 0.7500 0.3211
0.3808 0.2500 0.8211
0.6192 0.7500 0.1789
0.8808 0.2500 0.6789
0.1855 0.0527 0.5542
0.1855 0.4473 0.5542
0.3145 0.5527 0.0542
0.3145 0.9473 0.0542
0.6855 0.0527 0.9458
0.6855 0.4473 0.9458
0.8145 0.5527 0.4458
0.8145 0.9473 0.4458



Ac2Hg3Pd5 (PBE, optimized geometry); spin magnetization = 0.0 Bohr magnetons per cell; calculated density = 11.44 g cm⁻³; DOS at the Fermi energy = 0.426 states/eV/atom; electronic total energy = -40.3 eV per formula unit
1.0
-5.3789 7.1440 2.9994
5.3789 -7.1440 2.9994
5.3789 7.1440 -2.9994
Ac Hg Pd
4 6 10
Direct
0.1247 0.2434 0.3681
0.3753 0.7434 0.1186
0.6247 0.2566 0.8814
0.8753 0.7566 0.6319
0.1543 0.9226 0.0769
0.2500 0.7500 0.5000
0.3457 0.4226 0.7682
0.6543 0.5774 0.2318
0.7500 0.2500 0.5000
0.8457 0.0774 0.9231
0.0560 0.7500 0.3060
0.1019 0.6818 0.7837
0.2500 0.2500 0.0000
0.3981 0.1818 0.5798
0.4440 0.7500 0.6940
0.5560 0.2500 0.3060
0.6019 0.8182 0.4202
0.7500 0.7500 0.0000
0.8981 0.3182 0.2163
0.9440 0.2500 0.6940



AcHg4Pd2 (PBE, optimized geometry); spin magnetization = 0.0 Bohr magnetons per cell; calculated density = 12.23 g cm⁻³; DOS at the Fermi energy = 0.323 states/eV/atom; relative energy among the computed polymorphs = 0.015 eV per atom
1.0
2.2187 -8.7579 0.0000
2.2187 8.7579 0.0000
0.0000 0.0000 4.3412
Ac Hg Pd
1 4 2
Direct
0.0000 0.0000 0.0000
0.1756 0.8244 0.5000
0.3194 0.6806 0.0000
0.6806 0.3194 0.0000
0.8244 0.1756 0.5000
0.4249 0.5751 0.5000
0.5751 0.4249 0.5000



AcHg2Pd2 (PBE, optimized geometry); spin magnetization = 0.0 Bohr magnetons per cell; calculated density = 11.19 g cm⁻³; DOS at the Fermi energy = 0.403 states/eV/atom; relative energy among the computed polymorphs = 0.058 eV per atom
1.0
2.6600 -5.0847 0.0000
2.6600 5.0847 0.0000
-2.6347 0.0000 9.2301
Ac Hg Pd
2 4 4
Direct
0.1249 0.8751 0.7500
0.8751 0.1249 0.2500
0.2552 0.5071 0.0065
0.4929 0.7448 0.4935
0.5071 0.2552 0.5065
0.7448 0.4929 0.9935
0.1979 0.8021 0.2500
0.4492 0.5508 0.7500
0.5508 0.4492 0.2500
0.8021 0.1979 0.7500



Ac3Hg2Pd4 (PBE, optimized geometry); spin magnetization = 0.0 Bohr magnetons per cell; calculated density = 10.76 g cm⁻³; DOS at the Fermi energy = 0.592 states/eV/atom; relative energy among the computed polymorphs = 0.035 eV per atom
1.0
5.3671 -2.2667 0.0000
5.3671 2.2667 0.0000
-0.5953 0.0000 9.5639
Ac Hg Pd
3 2 4
Direct
0.0000 0.0000 0.0000
0.3719 0.3719 0.6224
0.6281 0.6281 0.3776
0.3265 0.3265 0.2200
0.6735 0.6735 0.7800
0.0781 0.0781 0.6219
0.2889 0.2889 0.9205
0.7111 0.7111 0.0795
0.9219 0.9219 0.3781



Ac3Hg2Pd7 (PBE, optimized geometry); spin magnetization = 0.0 Bohr magnetons per cell; calculated density = 10.97 g cm⁻³; DOS at the Fermi energy = 0.399 states/eV/atom; relative energy among the computed polymorphs = 0.055 eV per atom
1.0
4.3697 0.0000 0.0000
0.0000 4.2673 0.0000
-2.1813 0.0000 14.8279
Ac Hg Pd
3 2 7
Direct
0.0000 0.0000 0.0000
0.3146 0.5000 0.6293
0.6854 0.5000 0.3707
0.1315 0.0000 0.2610
0.8685 0.0000 0.7390
0.0736 0.5000 0.1433
0.2233 0.0000 0.4465
0.4269 0.0000 0.8556
0.5000 0.5000 0.0000
0.5731 0.0000 0.1444
0.7767 0.0000 0.5535
0.9264 0.5000 0.8567



Ac2HgPd4 (PBE, optimized geometry); spin magnetization = 0.0 Bohr magnetons per cell; calculated density = 9.22 g cm⁻³; DOS at the Fermi energy = 0.568 states/eV/atom; electronic total energy = -31.1 eV per formula unit
1.0
-2.5458 2.5458 7.5033
2.5458 -2.5458 7.5033
2.5458 2.5458 -7.5033
Ac Hg Pd
2 1 4
Direct
0.1351 0.1351 0.0000
0.8649 0.8649 0.0000
0.5000 0.5000 0.0000
0.0000 0.5000 0.5000
0.3203 0.3203 0.0000
0.5000 0.0000 0.5000
0.6797 0.6797 0.0000



AcPmHgPd (PBE, optimized geometry); spin magnetization = 0.0 Bohr magnetons per cell; calculated density = 10.06 g cm⁻³; DOS at the Fermi energy = 0.819 states/eV/atom; electronic total energy = -16.5 eV per formula unit
1.0
0.0000 3.8264 3.8264
3.8264 0.0000 3.8264
3.8264 3.8264 0.0000
Ac Pm Hg Pd
1 1 1 1
Direct
0.0000 0.0000 0.0000
0.5000 0.5000 0.5000
0.2500 0.2500 0.2500
0.7500 0.7500 0.7500



Ac2HgPdPt (PBE, optimized geometry); spin magnetization = 0.0 Bohr magnetons per cell; calculated density = 11.05 g cm⁻³; DOS at the Fermi energy = 0.583 states/eV/atom; electronic total energy = -23.6 eV per formula unit
1.0
8.2691 0.0000 0.0000
0.0000 4.5559 0.0000
-3.6848 0.0000 7.6260
Ac Hg Pd Pt
4 2 2 2
Direct
0.1122 0.2500 0.3479
0.3311 0.7500 0.0642
0.6689 0.2500 0.9358
0.8878 0.7500 0.6521
0.4121 0.7500 0.6333
0.5879 0.2500 0.3667
0.2478 0.2500 0.7430
0.7522 0.7500 0.2570
0.0477 0.2500 0.9244
0.9523 0.7500 0.0756